# CaHg2RhSe (PBE, optimized geometry)
# Size of the total moment (μB per formula unit): 1.20
# E_tot (hartree per atom): -0.0706
data_CaHg2RhSe
_symmetry_space_group_name_H-M 'P 4/m m m'
_symmetry_Int_Tables_number 123
_symmetry_space_group_name_Hall '-P 4 2'
_cell_length_a 5.6850
_cell_length_b 5.6850
_cell_length_c 4.9978
_cell_angle_alpha 90.00
_cell_angle_beta 90.00
_cell_angle_gamma 90.00
loop_
_atom_site_label
_atom_site_type_symbol
_atom_site_fract_x
_atom_site_fract_y
_atom_site_fract_z
_atom_site_occupancy
Ca1 Ca 0.0000 0.0000 0.0000 1
Hg1 Hg 0.0000 0.5000 0.0000 1
Rh1 Rh 0.0000 0.0000 0.5000 1
Se1 Se 0.5000 0.5000 0.5000 1


# Li2ZnTc (PBE, optimized geometry)
# Size of the total moment (μB per formula unit): 0.00
# E_tot (hartree per atom): -0.1368
data_Li2ZnTc
_symmetry_space_group_name_H-M 'C m m m'
_symmetry_Int_Tables_number 65
_symmetry_space_group_name_Hall '-C 2 2'
_cell_length_a 5.2639
_cell_length_b 8.7771
_cell_length_c 2.4678
_cell_angle_alpha 90.00
_cell_angle_beta 90.00
_cell_angle_gamma 90.00
loop_
_atom_site_label
_atom_site_type_symbol
_atom_site_fract_x
_atom_site_fract_y
_atom_site_fract_z
_atom_site_occupancy
Li1 Li 0.2500 0.2500 0.0000 1
Zn1 Zn 0.0000 0.0000 0.5000 1
Tc1 Tc 0.0000 0.5000 0.5000 1